(1)
# Pm2Ga2I, optimized geometry, DFT PBE
# calculated volume: 399.44 Å³/cell
# calculated total energy: -0.15674 Ha/atom
data_Pm2Ga2I
_cell_length_a 4.2453
_cell_length_b 4.2453
_cell_length_c 25.5924
_cell_angle_alpha 90.00
_cell_angle_beta 90.00
_cell_angle_gamma 120.00
_symmetry_space_group_name_H-M 'R -3 m'
_symmetry_Int_Tables_number 166
_symmetry_space_group_name_Hall '-R 3 2"'
loop_
_atom_site_label
_atom_site_type_symbol
_atom_site_fract_x
_atom_site_fract_y
_atom_site_fract_z
Pm1 Pm 0.0000 0.0000 0.0782
Ga1 Ga 0.0000 0.0000 0.3260
I1 I 0.0000 0.0000 0.5000

***

(2)
# ScMn2Be, optimized geometry, DFT PBE
# calculated volume: 197.47 Å³/cell
# calculated total energy: -0.25624 Ha/atom
# energy relative to the elements: 0.127 eV per atom
data_ScMn2Be
_cell_length_a 5.823
_cell_length_b 5.823
_cell_length_c 5.823
_cell_angle_alpha 90.00
_cell_angle_beta 90.00
_cell_angle_gamma 90.00
_symmetry_space_group_name_H-M 'F -4 3 m'
_symmetry_Int_Tables_number 216
_symmetry_space_group_name_Hall 'F -4 2 3'
loop_
_atom_site_label
_atom_site_type_symbol
_atom_site_fract_x
_atom_site_fract_y
_atom_site_fract_z
Sc1 Sc 0.000 0.000 0.000
Mn1 Mn 0.000 0.000 0.500
Mn2 Mn 0.250 0.250 0.250
Be1 Be 0.250 0.250 0.750

***

(3)
# Pr2TmCd12Ag3, optimized geometry, DFT PBE
# calculated volume: 1495.42 Å³/cell
# calculated total energy: -0.06460 Ha/atom
# energy relative to the elements: 0.107 eV per atom
data_Pr2TmCd12Ag3
_cell_length_a 8.8939
_cell_length_b 8.8939
_cell_length_c 21.8300
_cell_angle_alpha 90.00
_cell_angle_beta 90.00
_cell_angle_gamma 120.00
_symmetry_space_group_name_H-M 'R -3 m'
_symmetry_Int_Tables_number 166
_symmetry_space_group_name_Hall '-R 3 2"'
loop_
_atom_site_label
_atom_site_type_symbol
_atom_site_fract_x
_atom_site_fract_y
_atom_site_fract_z
Pr1 Pr 0.0000 0.0000 0.0829
Tm1 Tm 0.0000 0.0000 0.5000
Cd1 Cd 0.0650 0.5325 0.2705
Cd2 Cd 0.0898 0.5449 0.8696
Ag1 Ag 0.0000 0.5000 0.0000

***

(4)
# TcMoRu2Pt, optimized geometry, DFT PBE
# calculated volume: 101.52 Å³/cell
# calculated total energy: -0.27324 Ha/atom
# energy relative to the elements: 1.723 eV per atom
data_TcMoRu2Pt
_cell_length_a 4.588
_cell_length_b 4.588
_cell_length_c 4.823
_cell_angle_alpha 90.00
_cell_angle_beta 90.00
_cell_angle_gamma 90.00
_symmetry_space_group_name_H-M 'P 4/m m m'
_symmetry_Int_Tables_number 123
_symmetry_space_group_name_Hall '-P 4 2'
loop_
_atom_site_label
_atom_site_type_symbol
_atom_site_fract_x
_atom_site_fract_y
_atom_site_fract_z
Tc1 Tc 0.000 0.000 0.000
Mo1 Mo 0.500 0.500 0.500
Ru1 Ru 0.000 0.500 0.500
Pt1 Pt 0.500 0.500 0.000

***

(5)
# HoTl3Cl6, optimized geometry, DFT PBE
# calculated volume: 669.06 Å³/cell
# calculated total energy: -0.14091 Ha/atom
data_HoTl3Cl6
_cell_length_a 7.479
_cell_length_b 8.211
_cell_length_c 12.946
_cell_angle_alpha 90.00
_cell_angle_beta 122.69
_cell_angle_gamma 90.00
_symmetry_space_group_name_H-M 'P 1 21/c 1'
_symmetry_Int_Tables_number 14
loop_
_symmetry_equiv_pos_as_xyz
'x,y,z'
'-x,-y,-z'
'-x,y+1/2,-z+1/2'
'x,-y+1/2,z+1/2'
loop_
_atom_site_label
_atom_site_type_symbol
_atom_site_fract_x
_atom_site_fract_y
_atom_site_fract_z
Ho1 Ho 0.000 0.000 0.000
Tl1 Tl 0.290 0.068 0.765
Tl2 Tl 0.500 0.000 0.500
Cl1 Cl 0.102 0.062 0.226
Cl2 Cl 0.237 0.733 0.077
Cl3 Cl 0.335 0.166 0.041

***

(6)
# PaCdCoH6, optimized geometry, DFT PBE
# calculated volume: 76.16 Å³/cell
# calculated total energy: -0.15354 Ha/atom
data_PaCdCoH6
_cell_length_a 4.4854
_cell_length_b 4.4854
_cell_length_c 4.3711
_cell_angle_alpha 90.00
_cell_angle_beta 90.00
_cell_angle_gamma 120.00
_symmetry_space_group_name_H-M 'P -6 m 2'
_symmetry_Int_Tables_number 187
_symmetry_space_group_name_Hall 'P -6 2'
loop_
_atom_site_label
_atom_site_type_symbol
_atom_site_fract_x
_atom_site_fract_y
_atom_site_fract_z
Pa1 Pa 0.0000 0.0000 0.0000
Cd1 Cd 0.3333 0.6667 0.5000
Co1 Co 0.6667 0.3333 0.5000
H1 H 0.5267 0.0535 0.2006

***

(7)
# Re3MoPt, optimized geometry, DFT PBE
# E above lowest polymorph: 0.0000 eV/atom
# calculated volume: 99.64 Å³/cell
# calculated total energy: -0.31591 Ha/atom
# energy relative to the elements: 2.247 eV per atom
data_Re3MoPt
_cell_length_a 4.636
_cell_length_b 4.636
_cell_length_c 4.636
_cell_angle_alpha 90.00
_cell_angle_beta 90.00
_cell_angle_gamma 90.00
_symmetry_space_group_name_H-M 'P m -3 m'
_symmetry_Int_Tables_number 221
_symmetry_space_group_name_Hall '-P 4 2 3'
loop_
_atom_site_label
_atom_site_type_symbol
_atom_site_fract_x
_atom_site_fract_y
_atom_site_fract_z
Re1 Re 0.000 0.000 0.500
Mo1 Mo 0.000 0.000 0.000
Pt1 Pt 0.500 0.500 0.500

***

(8)
# Ac2SmSn3Ir4, optimized geometry, DFT PBE
# calculated volume: 238.09 Å³/cell
# calculated total energy: -0.24485 Ha/atom
# energy relative to the elements: -0.624 eV per atom
data_Ac2SmSn3Ir4
_cell_length_a 4.505
_cell_length_b 4.505
_cell_length_c 11.731
_cell_angle_alpha 90.00
_cell_angle_beta 90.00
_cell_angle_gamma 90.00
_symmetry_space_group_name_H-M 'P -4 m 2'
_symmetry_Int_Tables_number 115
loop_
_symmetry_equiv_pos_as_xyz
'x,y,z'
'y,-x,-z'
'-x,-y,z'
'-y,x,-z'
'-x,y,z'
'-y,-x,-z'
'x,-y,z'
'y,x,-z'
loop_
_atom_site_label
_atom_site_type_symbol
_atom_site_fract_x
_atom_site_fract_y
_atom_site_fract_z
Ac1 Ac 0.000 0.500 0.236
Sm1 Sm 0.000 0.000 0.500
Sn1 Sn 0.000 0.500 0.878
Sn2 Sn 0.500 0.500 0.500
Ir1 Ir 0.000 0.000 0.000
Ir2 Ir 0.000 0.500 0.651
Ir3 Ir 0.500 0.500 0.000

***

(9)
# DySiB, optimized geometry, DFT PBE
# E above lowest polymorph: 0.1127 eV/atom
# calculated volume: 179.20 Å³/cell
# calculated total energy: -0.22492 Ha/atom
data_DySiB
_cell_length_a 3.558
_cell_length_b 4.037
_cell_length_c 12.474
_cell_angle_alpha 90.00
_cell_angle_beta 90.00
_cell_angle_gamma 90.00
_symmetry_space_group_name_H-M 'I m m a'
_symmetry_Int_Tables_number 74
_symmetry_space_group_name_Hall '-I 2b 2'
loop_
_atom_site_label
_atom_site_type_symbol
_atom_site_fract_x
_atom_site_fract_y
_atom_site_fract_z
Dy1 Dy 0.000 0.250 0.135
Si1 Si 0.000 0.250 0.550
B1 B 0.000 0.250 0.717

***

(10)
# Ta2CoBr, optimized geometry, DFT PBE
# E above lowest polymorph: 0.1284 eV/atom
# calculated volume: 223.70 Å³/cell
# calculated total energy: -0.29056 Ha/atom
data_Ta2CoBr
_cell_length_a 3.1636
_cell_length_b 3.1636
_cell_length_c 25.8101
_cell_angle_alpha 90.00
_cell_angle_beta 90.00
_cell_angle_gamma 120.00
_symmetry_space_group_name_H-M 'R 3 m'
_symmetry_Int_Tables_number 160
_symmetry_space_group_name_Hall 'R 3 -2"'
loop_
_atom_site_label
_atom_site_type_symbol
_atom_site_fract_x
_atom_site_fract_y
_atom_site_fract_z
Ta1 Ta 0.0000 0.0000 0.0000
Ta2 Ta 0.0000 0.0000 0.2424
Co1 Co 0.0000 0.0000 0.5139
Br1 Br 0.0000 0.0000 0.7427

***

(11)
# KMnSb, optimized geometry, DFT PBE
# calculated volume: 355.88 Å³/cell
# calculated total energy: -0.16797 Ha/atom
data_KMnSb
_cell_length_a 7.087
_cell_length_b 7.087
_cell_length_c 7.087
_cell_angle_alpha 90.00
_cell_angle_beta 90.00
_cell_angle_gamma 90.00
_symmetry_space_group_name_H-M 'F -4 3 m'
_symmetry_Int_Tables_number 216
_symmetry_space_group_name_Hall 'F -4 2 3'
loop_
_atom_site_label
_atom_site_type_symbol
_atom_site_fract_x
_atom_site_fract_y
_atom_site_fract_z
K1 K 0.000 0.000 0.000
Mn1 Mn 0.250 0.250 0.250
Sb1 Sb 0.000 0.000 0.500

***

(12)
# BaLi6ZnCd, optimized geometry, DFT PBE
# calculated volume: 914.87 Å³/cell
# calculated total energy: -0.06272 Ha/atom
# energy relative to the elements: 0.026 eV per atom
data_BaLi6ZnCd
_cell_length_a 7.350
_cell_length_b 9.986
_cell_length_c 12.465
_cell_angle_alpha 90.00
_cell_angle_beta 90.00
_cell_angle_gamma 90.00
_symmetry_space_group_name_H-M 'I m m a'
_symmetry_Int_Tables_number 74
_symmetry_space_group_name_Hall '-I 2b 2'
loop_
_atom_site_label
_atom_site_type_symbol
_atom_site_fract_x
_atom_site_fract_y
_atom_site_fract_z
Ba1 Ba 0.000 0.250 0.179
Li1 Li 0.000 0.250 0.489
Li2 Li 0.000 0.250 0.910
Li3 Li 0.194 0.030 0.616
Zn1 Zn 0.000 0.000 0.000
Cd1 Cd 0.250 0.250 0.750

***

(13)
# RbY3Zr, optimized geometry, DFT PBE
# E above lowest polymorph: 0.0000 eV/atom
# calculated volume: 199.66 Å³/cell
# calculated total energy: -0.18871 Ha/atom
# energy relative to the elements: 0.647 eV per atom
data_RbY3Zr
_cell_length_a 5.845
_cell_length_b 5.845
_cell_length_c 5.845
_cell_angle_alpha 90.00
_cell_angle_beta 90.00
_cell_angle_gamma 90.00
_symmetry_space_group_name_H-M 'P m -3 m'
_symmetry_Int_Tables_number 221
_symmetry_space_group_name_Hall '-P 4 2 3'
loop_
_atom_site_label
_atom_site_type_symbol
_atom_site_fract_x
_atom_site_fract_y
_atom_site_fract_z
Rb1 Rb 0.000 0.000 0.000
Y1 Y 0.000 0.500 0.500
Zr1 Zr 0.500 0.500 0.500

***

(14)
# Tl3Sb2Pb3, optimized geometry, DFT PBE
# E above lowest polymorph: 0.0226 eV/atom
# calculated volume: 1065.20 Å³/cell
# calculated total energy: -0.12038 Ha/atom
data_Tl3Sb2Pb3
_cell_length_a 9.218
_cell_length_b 17.841
_cell_length_c 6.477
_cell_angle_alpha 90.00
_cell_angle_beta 90.00
_cell_angle_gamma 90.00
_symmetry_space_group_name_H-M 'P n m a'
_symmetry_Int_Tables_number 62
loop_
_symmetry_equiv_pos_as_xyz
'x,y,z'
'-x,-y,-z'
'-x+1/2,-y,z+1/2'
'x+1/2,y,-z+1/2'
'x+1/2,-y+1/2,-z+1/2'
'-x+1/2,y+1/2,z+1/2'
'-x,y+1/2,-z'
'x,-y+1/2,z'
loop_
_atom_site_label
_atom_site_type_symbol
_atom_site_fract_x
_atom_site_fract_y
_atom_site_fract_z
Tl1 Tl 0.032 0.116 0.099
Tl2 Tl 0.189 0.250 0.661
Sb1 Sb 0.074 0.626 0.391
Pb1 Pb 0.199 0.750 0.671
Pb2 Pb 0.205 0.025 0.580

***

(15)
# LiHfGaRh, optimized geometry, DFT PBE
# calculated volume: 246.81 Å³/cell
# calculated total energy: -0.22672 Ha/atom
# energy relative to the elements: -0.608 eV per atom
data_LiHfGaRh
_cell_length_a 6.273
_cell_length_b 6.273
_cell_length_c 6.273
_cell_angle_alpha 90.00
_cell_angle_beta 90.00
_cell_angle_gamma 90.00
_symmetry_space_group_name_H-M 'F -4 3 m'
_symmetry_Int_Tables_number 216
_symmetry_space_group_name_Hall 'F -4 2 3'
loop_
_atom_site_label
_atom_site_type_symbol
_atom_site_fract_x
_atom_site_fract_y
_atom_site_fract_z
Li1 Li 0.000 0.000 0.000
Hf1 Hf 0.250 0.250 0.250
Ga1 Ga 0.250 0.250 0.750
Rh1 Rh 0.000 0.000 0.500

***

(16)
# Nd3CoI, optimized geometry, DFT PBE
# E above lowest polymorph: 0.0158 eV/atom
# calculated volume: 297.44 Å³/cell
# calculated total energy: -0.18176 Ha/atom
data_Nd3CoI
_cell_length_a 4.100
_cell_length_b 7.093
_cell_length_c 10.229
_cell_angle_alpha 90.00
_cell_angle_beta 90.00
_cell_angle_gamma 90.00
_symmetry_space_group_name_H-M 'P m m n'
_symmetry_Int_Tables_number 59
loop_
_symmetry_equiv_pos_as_xyz
'x,y,z'
'-x,-y,-z'
'-x+1/2,-y+1/2,z'
'x+1/2,y+1/2,-z'
'x+1/2,-y,-z'
'-x+1/2,y,z'
'-x,y+1/2,-z'
'x,-y+1/2,z'
loop_
_atom_site_label
_atom_site_type_symbol
_atom_site_fract_x
_atom_site_fract_y
_atom_site_fract_z
Nd1 Nd 0.250 0.002 0.142
Nd2 Nd 0.250 0.750 0.609
Co1 Co 0.250 0.750 0.893
I1 I 0.250 0.250 0.648

***

(17)
# Ta2CuW, optimized geometry, DFT PBE
# E above lowest polymorph: 0.1541 eV/atom
# calculated volume: 64.93 Å³/cell
# calculated total energy: -0.36758 Ha/atom
# energy relative to the elements: 0.186 eV per atom
data_Ta2CuW
_cell_length_a 3.530
_cell_length_b 4.195
_cell_length_c 4.385
_cell_angle_alpha 90.00
_cell_angle_beta 90.00
_cell_angle_gamma 90.00
_symmetry_space_group_name_H-M 'P m m m'
_symmetry_Int_Tables_number 47
loop_
_symmetry_equiv_pos_as_xyz
'x,y,z'
'-x,-y,-z'
'-x,-y,z'
'x,y,-z'
'x,-y,-z'
'-x,y,z'
'-x,y,-z'
'x,-y,z'
loop_
_atom_site_label
_atom_site_type_symbol
_atom_site_fract_x
_atom_site_fract_y
_atom_site_fract_z
Ta1 Ta 0.000 0.000 0.000
Ta2 Ta 0.500 0.000 0.500
Cu1 Cu 0.000 0.500 0.500
W1 W 0.500 0.500 0.000

***

(18)
# LiMnBe2, optimized geometry, DFT PBE
# calculated volume: 38.14 Å³/cell
# calculated total energy: -0.16781 Ha/atom
# energy relative to the elements: 0.068 eV per atom
data_LiMnBe2
_cell_length_a 3.965
_cell_length_b 3.965
_cell_length_c 2.426
_cell_angle_alpha 90.00
_cell_angle_beta 90.00
_cell_angle_gamma 90.00
_symmetry_space_group_name_H-M 'P 4/m m m'
_symmetry_Int_Tables_number 123
_symmetry_space_group_name_Hall '-P 4 2'
loop_
_atom_site_label
_atom_site_type_symbol
_atom_site_fract_x
_atom_site_fract_y
_atom_site_fract_z
Li1 Li 0.000 0.000 0.000
Mn1 Mn 0.500 0.500 0.000
Be1 Be 0.000 0.500 0.500

***

(19)
# YMg2PdPb, optimized geometry, DFT PBE
# calculated volume: 170.00 Å³/cell
# calculated total energy: -0.11047 Ha/atom
# energy relative to the elements: 0.705 eV per atom
data_YMg2PdPb
_cell_length_a 5.846
_cell_length_b 5.846
_cell_length_c 4.975
_cell_angle_alpha 90.00
_cell_angle_beta 90.00
_cell_angle_gamma 90.00
_symmetry_space_group_name_H-M 'P 4/m m m'
_symmetry_Int_Tables_number 123
_symmetry_space_group_name_Hall '-P 4 2'
loop_
_atom_site_label
_atom_site_type_symbol
_atom_site_fract_x
_atom_site_fract_y
_atom_site_fract_z
Y1 Y 0.000 0.000 0.000
Mg1 Mg 0.000 0.500 0.000
Pd1 Pd 0.000 0.000 0.500
Pb1 Pb 0.500 0.500 0.500

***

(20)
# ScGe3Au, optimized geometry, DFT PBE
# E above lowest polymorph: 0.1921 eV/atom
# calculated volume: 134.80 Å³/cell
# calculated total energy: -0.14719 Ha/atom
# energy relative to the elements: 0.687 eV per atom
data_ScGe3Au
_cell_length_a 5.127
_cell_length_b 5.127
_cell_length_c 5.127
_cell_angle_alpha 90.00
_cell_angle_beta 90.00
_cell_angle_gamma 90.00
_symmetry_space_group_name_H-M 'P m -3 m'
_symmetry_Int_Tables_number 221
_symmetry_space_group_name_Hall '-P 4 2 3'
loop_
_atom_site_label
_atom_site_type_symbol
_atom_site_fract_x
_atom_site_fract_y
_atom_site_fract_z
Sc1 Sc 0.000 0.000 0.000
Ge1 Ge 0.000 0.000 0.500
Au1 Au 0.500 0.500 0.500